The following is a DFT calculation (GGA-PBE) of a geometry-optimized Sr2Cu4Sn3Ge structure.

Cell and atoms, written as POSCAR:
```
Sr2Cu4Sn3Ge
1.0
-3.6697 1.0904 -2.4318
-2.1670 -3.6297 1.6427
-3.6349 5.8371 8.1025
Cu Sr Sn Ge
4 2 3 1
Direct
0.0000 0.0000 0.0000 Cu
0.5000 0.5000 0.0000 Cu
0.0000 0.5000 0.3748 Cu
0.5000 0.0000 0.6252 Cu
0.0000 0.5000 0.7527 Sr
0.5000 0.0000 0.2473 Sr
0.0000 0.0000 0.5000 Sn
0.0000 0.5000 0.1266 Sn
0.5000 0.0000 0.8734 Sn
0.5000 0.5000 0.5000 Ge
```

Summary:
**ΔE_f**: -0.318 eV per atom
**Electronic total energy**: -39.555 eV/cell



The following is a DFT calculation (GGA-PBE) of a geometry-optimized NpSn2Ru structure.

Cell and atoms, written as POSCAR:
```
NpSn2Ru
1.0
-3.9772 1.3193 -1.6788
-3.7449 -2.3232 0.9774
-3.3300 2.6115 3.8724
Np Sn Ru
1 2 1
Direct
0.0000 0.0000 0.0000 Np
0.7749 0.7749 0.6752 Sn
0.2251 0.2251 0.3248 Sn
0.5000 0.5000 0.5000 Ru
```

Summary:
**ΔE_f**: 0.063 eV per atom
**Electronic total energy**: -29.970 eV/cell



The following is a DFT calculation (GGA-PBE) of a geometry-optimized TePNCl2 structure.

Cell and atoms, written as POSCAR:
```
TePNCl2
1.0
-4.1334 -1.4158 3.0667
-0.5044 -4.5334 -2.7728
3.4154 -2.4919 3.4528
N Te Cl P
1 1 2 1
Direct
0.5000 0.5000 0.5000 N
0.0000 0.0000 0.0000 Te
0.0000 0.5000 0.0000 Cl
0.5000 0.0000 0.0000 Cl
0.0000 0.0000 0.5000 P
```

Summary:
**Formation energy from raw total energies**: 611 kJ/mol of formula units
**E above lowest polymorph**: 0.221 eV/atom
**Electronic total energy**: -14.234 eV/cell



The following is a DFT calculation (GGA-PBE) of a geometry-optimized KSeF3 structure.

Cell and atoms, written as POSCAR:
```
KSeF3
1.0
-2.0913 3.7922 1.4565
-5.2290 -3.0458 0.4054
-1.4066 -2.6065 7.3308
F K Se
6 2 2
Direct
0.4127 0.4111 0.3750 F
0.6880 0.2563 0.7243 F
0.4125 0.9545 0.3750 F
0.9594 0.0643 0.0702 F
0.6839 0.7625 0.7210 F
0.9592 0.6077 0.0703 F
0.4452 0.3597 0.0247 K
0.9267 0.6591 0.4206 K
0.8441 0.9149 0.9126 Se
0.5278 0.1039 0.5326 Se
```

Summary:
**Formation energy from raw total energies**: -913 kJ/mol of formula units
**E above lowest polymorph**: 0.047 eV/atom
**Electronic total energy**: -39.323 eV/cell



The following is a DFT calculation (GGA-PBE) of a geometry-optimized Ce3HfP4 structure.

Cell and atoms, written as POSCAR:
```
Ce3HfP4
1.0
-6.0803 3.0524 1.0711
1.4296 -4.2128 5.2732
3.6636 5.9722 3.7780
Ce P Hf
6 8 2
Direct
0.7500 0.5000 0.1233 Ce
0.2500 0.0000 0.6274 Ce
0.2500 0.5000 0.3721 Ce
0.2500 0.5000 0.8767 Ce
0.7500 0.5000 0.6279 Ce
0.7500 0.0000 0.3726 Ce
0.9901 0.2401 0.6350 P
0.4997 0.2319 0.8847 P
0.5003 0.7681 0.1153 P
0.5099 0.7599 0.6350 P
0.0003 0.7681 0.8847 P
0.4901 0.2401 0.3650 P
0.9997 0.2319 0.1153 P
0.0099 0.7599 0.3650 P
0.2500 0.0000 0.1238 Hf
0.7500 0.0000 0.8762 Hf
```

Summary:
**ΔE_f**: -1.441 eV per atom
**Electronic total energy**: -121.841 eV/cell



The following is a DFT calculation (GGA-PBE) of a geometry-optimized RbSb3Au3 structure.

Cell and atoms, written as POSCAR:
```
RbSb3Au3
1.0
-5.5134 4.5737 2.7836
-3.9340 -0.7503 -6.5593
-3.6318 -6.1305 2.8795
Sb Rb Au
6 2 6
Direct
0.7500 0.5000 0.0000 Sb
0.5000 0.0000 0.7500 Sb
0.5000 0.0000 0.2500 Sb
0.0000 0.7500 0.5000 Sb
0.2500 0.5000 0.0000 Sb
0.0000 0.2500 0.5000 Sb
0.0000 0.0000 0.0000 Rb
0.5000 0.5000 0.5000 Rb
0.0000 0.5000 0.7500 Au
0.0000 0.5000 0.2500 Au
0.7500 0.0000 0.5000 Au
0.5000 0.7500 0.0000 Au
0.5000 0.2500 0.0000 Au
0.2500 0.0000 0.5000 Au
```

Summary:
**Formation energy from raw total energies**: -124 kJ/mol of formula units
**E above lowest polymorph**: 0.000 eV/atom
**Electronic total energy**: -48.897 eV/cell



The following is a DFT calculation (GGA-PBE) of a geometry-optimized NiHSe2 structure.

Cell and atoms, written as POSCAR:
```
NiHSe2
1.0
-0.3538 -11.8258 -0.2783
1.8681 -3.0273 -3.3852
3.9104 2.9435 -0.3989
Ni Se H
2 4 2
Direct
0.7667 0.3639 0.3742 Ni
0.2667 0.1258 0.1361 Ni
0.3631 0.9693 0.7748 Se
0.1810 0.7511 0.9802 Se
0.6810 0.5198 0.7489 Se
0.8631 0.7252 0.5307 Se
0.2065 0.7102 0.7145 H
0.7065 0.7855 0.7898 H
```

Summary:
**E above lowest polymorph**: 0.067 eV/atom
**Electronic total energy**: -32.732 eV/cell



The following is a DFT calculation (GGA-PBE) of a geometry-optimized CaC2N structure.

Cell and atoms, written as POSCAR:
```
CaC2N
1.0
5.2467 0.0000 0.0000
0.0000 5.2467 0.0000
2.6233 2.6233 2.9850
N C Ca
2 4 2
Direct
0.5000 0.5000 0.0000 N
0.2500 0.7500 0.5000 N
0.2476 0.6250 0.2500 C
0.5024 0.1250 0.2500 C
0.3750 0.4976 0.7500 C
0.8750 0.7524 0.7500 C
0.7500 0.2500 0.5000 Ca
0.0000 0.0000 0.0000 Ca
```

Summary:
**Formation energy from raw total energies**: 555 kJ/mol of formula units
**Electronic total energy**: -46.037 eV/cell



The following is a DFT calculation (GGA-PBE) of a geometry-optimized AcGdErCd structure.

Cell and atoms, written as POSCAR:
```
AcGdErCd
1.0
5.6253 0.0000 0.0000
2.8126 4.8716 0.0000
2.8126 1.6239 4.5930
Er Ac Gd Cd
1 1 1 1
Direct
0.0000 0.0000 0.0000 Er
0.2500 0.2500 0.2500 Ac
0.5000 0.5000 0.5000 Gd
0.7500 0.7500 0.7500 Cd
```

Summary:
**ΔE_f**: 0.068 eV per atom
**Electronic total energy**: -23.394 eV/cell



The following is a DFT calculation (GGA-PBE) of a geometry-optimized Np4Ge12Rh structure.

Cell and atoms, written as POSCAR:
```
Np4Ge12Rh
1.0
-0.8404 -5.5425 4.9305
7.2707 1.1093 -1.2818
-3.0255 6.2501 2.7421
Ge Np Rh
12 4 1
Direct
0.5000 0.7500 0.2500 Ge
0.2500 0.5000 0.7500 Ge
0.2500 0.7500 0.5000 Ge
0.7500 0.2500 0.5000 Ge
0.7084 0.0000 0.7084 Ge
0.2916 0.2916 0.0000 Ge
0.2916 0.0000 0.2916 Ge
0.5000 0.2500 0.7500 Ge
0.0000 0.2916 0.2916 Ge
0.7500 0.5000 0.2500 Ge
0.7084 0.7084 0.0000 Ge
0.0000 0.7084 0.7084 Ge
0.0000 0.5000 0.0000 Np
0.5000 0.0000 0.0000 Np
0.0000 0.0000 0.5000 Np
0.5000 0.5000 0.5000 Np
0.0000 0.0000 0.0000 Rh
```

Summary:
**ΔE_f**: -0.209 eV per atom
**Electronic total energy**: -118.078 eV/cell



The following is a DFT calculation (GGA-PBE) of a geometry-optimized Ga2Cu2As structure.

Cell and atoms, written as POSCAR:
```
Ga2Cu2As
1.0
-6.5314 1.9119 2.5853
-1.4923 -6.9871 1.3973
1.1575 0.2941 2.7068
Ga Cu As
4 4 2
Direct
0.6697 0.8303 0.5000 Ga
0.8303 0.3303 0.5000 Ga
0.3303 0.1697 0.5000 Ga
0.1697 0.6697 0.5000 Ga
0.6268 0.1268 0.0000 Cu
0.1268 0.3732 0.0000 Cu
0.3732 0.8732 0.0000 Cu
0.8732 0.6268 0.0000 Cu
0.0000 0.0000 0.0000 As
0.5000 0.5000 0.0000 As
```

Summary:
**ΔE_f**: 0.078 eV per atom
**E above lowest polymorph**: 0.000 eV/atom
**Electronic total energy**: -37.012 eV/cell



The following is a DFT calculation (GGA-PBE) of a geometry-optimized PuSbRh3 structure.

Cell and atoms, written as POSCAR:
```
PuSbRh3
1.0
6.3185 1.4542 -0.1097
-1.7545 6.2418 0.1097
-3.4228 -3.1714 4.5029
Pu Sb Rh
2 2 6
Direct
0.0061 0.2561 0.2500 Pu
0.9939 0.7439 0.7500 Pu
0.5000 0.5000 0.0000 Sb
0.5000 0.0000 0.5000 Sb
0.5000 0.6903 0.6903 Rh
0.2972 0.0472 0.7500 Rh
0.0000 0.6903 0.1903 Rh
0.5000 0.3097 0.3097 Rh
0.0000 0.3097 0.8097 Rh
0.7028 0.9528 0.2500 Rh
```

Summary:
**Formation energy from raw total energies**: -197 kJ/mol of formula units
**Electronic total energy**: -85.101 eV/cell